one | This record from Alexandria describes a relaxed TcAsSe2 crystal. The functional is GGA-PBE. Values from VASP.

Summary:
- volume (Å³/f.u.) = 89
- SG = Cm

```
&SYSTEM
  ibrav = 0, nat = 4, ntyp = 3
/
ATOMIC_SPECIES
Tc 98.00 Tc.upf
As 74.92 As.upf
Se 78.96 Se.upf
CELL_PARAMETERS angstrom
4.699 0.022 0.008
3.566 3.060 0.008
1.778 0.663 6.221
ATOMIC_POSITIONS crystal
Tc 0.437 0.437 0.397
As 0.163 0.163 0.349
Se 0.051 0.051 0.054
Se 0.849 0.849 0.701
```

=====

two | This record from Alexandria describes a relaxed TcAsSe2 crystal. The functional is GGA-PBE. Values from VASP.

Summary:
- volume (Å³/f.u.) = 87
- SG = P4mm

```
&SYSTEM
  ibrav = 0, nat = 4, ntyp = 3
/
ATOMIC_SPECIES
Se 78.96 Se.upf
As 74.92 As.upf
Tc 98.00 Tc.upf
CELL_PARAMETERS angstrom
-1.835 -2.162 -0.767
0.280 -1.185 2.673
-7.823 5.486 3.250
ATOMIC_POSITIONS crystal
Se 0.500 0.500 0.342
As 0.500 0.500 0.662
Tc 0.000 0.000 0.491
Se 0.000 0.000 0.005
```

=====

three | This record from Alexandria describes a relaxed TcAsSe2 crystal. The functional is GGA-PBE. Values from VASP.

Summary:
- volume (Å³/f.u.) = 78
- SG = Cmm2

```
&SYSTEM
  ibrav = 0, nat = 4, ntyp = 3
/
ATOMIC_SPECIES
Tc 98.00 Tc.upf
As 74.92 As.upf
Se 78.96 Se.upf
CELL_PARAMETERS angstrom
2.868 0.000 0.000
-1.092 2.652 0.000
0.000 0.000 10.268
ATOMIC_POSITIONS crystal
Tc 0.000 0.000 0.503
As 0.500 0.500 0.697
Se 0.000 0.000 0.994
Se 0.500 0.500 0.307
```

=====

Which is more stable than every other structure shown? one is more stable than every other one.